# Ca6GaPd2 | the Alexandria database | GGA-PBE | relaxed
# Energy of formation, meV per atom: -460.4
# DFT total energy, eV per formula unit: -29.566
data_Ca6GaPd2
_space_group_name_H-M_alt 'P 1'
_space_group_IT_number 1
_space_group_name_Hall 'P 1'
_cell_length_a 8.790
_cell_length_b 8.790
_cell_length_c 8.790
_cell_angle_alpha 113.46
_cell_angle_beta 112.32
_cell_angle_gamma 102.83
loop_
_atom_site_label
_atom_site_fract_x
_atom_site_fract_y
_atom_site_fract_z
Ca1 0.052 0.243 0.809
Ca2 0.178 0.287 0.464
Ca3 0.178 0.713 0.891
Ca4 0.337 0.026 0.689
Ca5 0.337 0.649 0.311
Ca6 0.434 0.243 0.191
Ca7 0.566 0.757 0.809
Ca8 0.663 0.351 0.689
Ca9 0.663 0.974 0.311
Ca10 0.822 0.287 0.109
Ca11 0.822 0.713 0.536
Ca12 0.948 0.757 0.191
Ga1 0.000 0.000 0.000
Ga2 0.500 0.500 0.000
Pd1 0.130 0.630 0.500
Pd2 0.322 0.000 0.322
Pd3 0.678 0.000 0.678
Pd4 0.870 0.370 0.500